# La7Y3Er

A geometry-optimized La7Y3Er structure (GGA-PBE, Alexandria).

a b c (Å): 6.024 8.691 8.691
angles (deg): 83.56 110.29 110.29
Fractional positions:
La (0.694, 0.406, 0.981)
Y (0.500, 0.000, 0.000)
La (0.214, 0.213, 0.213)
La (0.786, 0.787, 0.787)
Y (0.000, 0.796, 0.204)
La (0.306, 0.019, 0.594)
La (0.306, 0.594, 0.019)
Er (0.500, 0.500, 0.500)
La (0.694, 0.981, 0.406)
La (0.000, 0.500, 0.500)
Y (0.000, 0.204, 0.796)

## Properties
Distance to the lowest polymorph of the same formula (eV per atom): 0.093
Formation energy from the elements (eV/atom): 0.216
SG: C2/m, No. 12
DOS(E_F) (states/eV per cell): 15.59



# Zr3P5

A geometry-optimized Zr3P5 structure (GGA-PBE, Alexandria).

a b c (Å): 7.965 8.181 7.803
angles (deg): 107.72 95.94 135.59
Fractional positions:
P (0.881, 0.152, 0.878)
P (0.118, 0.848, 0.122)
Zr (0.686, 0.759, 0.946)
P (0.318, 0.585, 0.070)
P (0.188, 0.326, 0.597)
P (0.811, 0.674, 0.403)
Zr (0.050, 0.540, 0.769)
P (0.681, 0.415, 0.930)
Zr (0.378, 0.149, 0.538)
P (0.878, 0.716, 0.700)
Zr (0.621, 0.851, 0.462)
Zr (0.949, 0.461, 0.231)
Zr (0.314, 0.241, 0.054)
P (0.666, 0.166, 0.384)
P (0.333, 0.834, 0.616)
P (0.121, 0.284, 0.300)

## Properties
Distance to the lowest polymorph of the same formula (eV per atom): 0.000
Formation energy from the elements (eV/atom): -0.777
SG: P-1, No. 2
DOS(E_F) (states/eV per cell): 4.67



# BePtRh2

A geometry-optimized BePtRh2 structure (GGA-PBE, Alexandria).

a b c (Å): 5.098 5.098 4.280
angles (deg): 65.14 65.14 31.39
Fractional positions:
Rh (0.460, 0.460, 0.540)
Be (0.750, 0.750, 0.750)
Rh (0.040, 0.040, 0.960)
Pt (0.250, 0.250, 0.250)

## Properties
Formation energy from the elements (eV/atom): -0.261
SG: Immm, No. 71
DOS(E_F) (states/eV per cell): 5.63



# NaCrCl2

A geometry-optimized NaCrCl2 structure (GGA-PBE, Alexandria).

a b c (Å): 4.840 4.840 4.840
angles (deg): 60.00 60.00 60.00
Each line ends with the local moment (μB).
Fractional positions:
Cl (0.250, 0.250, 0.250)  0.01
Cl (0.750, 0.750, 0.750)  0.01
Na (0.000, 0.000, 0.000)  0.01
Cr (0.500, 0.500, 0.500)  4.32

## Properties
Distance to the lowest polymorph of the same formula (eV per atom): 0.184
Energy relative to the elements, uncorrected (meV/atom): -707
SG: Fm-3m, No. 225
DOS(E_F) (states/eV per cell): 0.74



# YEr6Th3

A geometry-optimized YEr6Th3 structure (GGA-PBE, Alexandria).

a b c (Å): 9.799 9.799 6.910
angles (deg): 44.84 44.84 60.00
Fractional positions:
Er (0.432, 0.768, 0.699)
Er (0.932, 0.599, 0.200)
Er (0.101, 0.432, 0.699)
Th (0.099, 0.099, 0.702)
Er (0.768, 0.101, 0.699)
Y (0.850, 0.850, 0.451)
Er (0.599, 0.268, 0.200)
Th (0.350, 0.350, 0.950)
Th (0.600, 0.600, 0.199)
Er (0.268, 0.932, 0.200)

## Properties
Formation energy from the elements (eV/atom): 0.369
SG: R-3, No. 148
DOS(E_F) (states/eV per cell): 19.07



# FeBPAuC2

A geometry-optimized FeBPAuC2 structure (GGA-PBE, Alexandria).

a b c (Å): 7.186 2.854 6.844
angles (deg): 90.00 107.72 90.00
Each line ends with the local moment (μB).
Fractional positions:
C (0.633, 0.500, 0.896)  0.00
Au (0.319, 0.000, 0.323)  -0.01
P (0.792, 0.000, 0.038)  -0.01
B (0.123, 0.500, 0.009)  0.00
C (0.633, 0.000, 0.396)  0.00
Fe (0.641, 0.500, 0.187)  0.15
Fe (0.641, 0.000, 0.687)  0.15
C (0.046, 0.000, 0.043)  0.00
Au (0.319, 0.500, 0.823)  -0.01
C (0.046, 0.500, 0.543)  0.00
P (0.792, 0.500, 0.538)  -0.01
B (0.123, 0.000, 0.509)  0.00

## Properties
Distance to the lowest polymorph of the same formula (eV per atom): 0.203
Formation energy from the elements (eV/atom): 0.514
SG: Cm, No. 8
DOS(E_F) (states/eV per cell): 2.84



# Ho2ScZn12Cu3

A geometry-optimized Ho2ScZn12Cu3 structure (GGA-PBE, Alexandria).

a b c (Å): 8.191 8.191 8.191
angles (deg): 55.48 55.48 55.48
Fractional positions:
Zn (0.770, 0.145, 0.770)
Zn (0.831, 0.831, 0.469)
Zn (0.770, 0.770, 0.145)
Sc (0.000, 0.000, 0.000)
Zn (0.230, 0.230, 0.855)
Cu (0.000, 0.500, 0.000)
Zn (0.230, 0.855, 0.230)
Zn (0.855, 0.230, 0.230)
Zn (0.169, 0.169, 0.531)
Zn (0.145, 0.770, 0.770)
Ho (0.587, 0.587, 0.587)
Ho (0.413, 0.413, 0.413)
Zn (0.531, 0.169, 0.169)
Zn (0.469, 0.831, 0.831)
Zn (0.169, 0.531, 0.169)
Cu (0.000, 0.000, 0.500)
Zn (0.831, 0.469, 0.831)
Cu (0.500, 0.000, 0.000)

## Properties
Formation energy from the elements (eV/atom): 0.142
SG: R-3m, No. 166
DOS(E_F) (states/eV per cell): 6.53



# Na2HfCrS4

A geometry-optimized Na2HfCrS4 structure (GGA-PBE, Alexandria).

a b c (Å): 3.685 6.333 6.976
angles (deg): 107.62 90.00 90.00
Each line ends with the local moment (μB).
Fractional positions:
S (0.000, 0.744, 0.215)  -0.02
S (0.500, 0.768, 0.792)  -0.03
S (0.500, 0.232, 0.208)  -0.03
S (0.000, 0.256, 0.785)  -0.02
Hf (0.500, 0.500, 0.000)  0.06
Cr (0.000, 0.000, 0.000)  3.27
Na (0.000, 0.500, 0.500)  0.01
Na (0.500, 0.000, 0.500)  0.00

## Properties
Energy relative to the elements, uncorrected (meV/atom): -1203
SG: P2/m, No. 10
DOS(E_F) (states/eV per cell): 3.56



# TlGa2I6

A geometry-optimized TlGa2I6 structure (GGA-PBE, Alexandria).

a b c (Å): 11.701 11.701 8.780
angles (deg): 58.72 58.72 73.34
Fractional positions:
Ga (0.389, 0.195, 0.692)
Ga (0.195, 0.389, 0.192)
I (0.370, 0.350, 0.334)
I (0.970, 0.808, 0.570)
Tl (0.728, 0.272, 0.750)
I (0.077, 0.623, 0.137)
Ga (0.611, 0.805, 0.308)
I (0.923, 0.377, 0.863)
I (0.030, 0.192, 0.430)
I (0.808, 0.970, 0.070)
I (0.350, 0.370, 0.834)
Tl (0.272, 0.728, 0.250)
Ga (0.805, 0.611, 0.808)
I (0.650, 0.630, 0.166)
I (0.377, 0.923, 0.363)
I (0.192, 0.030, 0.930)
I (0.623, 0.077, 0.637)
I (0.630, 0.650, 0.666)

## Properties
Distance to the lowest polymorph of the same formula (eV per atom): 0.000
Energy relative to the elements, uncorrected (meV/atom): -459
SG: C2/c, No. 15
DOS(E_F) (states/eV per cell): 5.07



# Zr2ZnHPt

A geometry-optimized Zr2ZnHPt structure (GGA-PBE, Alexandria).

a b c (Å): 4.424 4.424 3.932
angles (deg): 90.00 90.00 90.00
Fractional positions:
Pt (0.000, 0.000, 0.500)
Zn (0.500, 0.500, 0.500)
Zr (0.000, 0.500, 0.000)
H (0.000, 0.000, 0.000)
Zr (0.500, 0.000, 0.000)

## Properties
Distance to the lowest polymorph of the same formula (eV per atom): 0.002
SG: P4/mmm, No. 123
DOS(E_F) (states/eV per cell): 4.49



# MnSbSe

A geometry-optimized MnSbSe structure (GGA-PBE, Alexandria).

a b c (Å): 4.392 4.392 3.723
angles (deg): 90.00 90.00 120.00
Each line ends with the local moment (μB).
Fractional positions:
Mn (0.000, 0.000, 0.846)  3.44
Se (0.333, 0.667, 0.830)  -0.05
Sb (0.667, 0.333, 0.325)  -0.17

## Properties
Energy relative to the elements, uncorrected (meV/atom): 90
SG: P3m1, No. 156
DOS(E_F) (states/eV per cell): 2.37



# CuRuNF2

A geometry-optimized CuRuNF2 structure (GGA-PBE, Alexandria).

a b c (Å): 4.195 4.195 3.720
angles (deg): 90.00 90.00 90.00
Fractional positions:
Cu (0.500, 0.500, 0.500)
Ru (0.000, 0.000, 0.000)
N (0.000, 0.000, 0.500)
F (0.000, 0.500, 0.000)
F (0.500, 0.000, 0.000)

## Properties
Distance to the lowest polymorph of the same formula (eV per atom): 0.000
Energy relative to the elements, uncorrected (meV/atom): -181
SG: P4/mmm, No. 123
DOS(E_F) (states/eV per cell): 3.45



In the order shown, the computed V values come out to 36.386, 18.568, 13.031, 20.039, 32.994, 11.141, 19.319, 19.394, 48.770, 15.392, 20.727, 13.093 Å³/atom.
In the order shown, the computed E_tot values come out to -5.10, -7.36, -6.38, -4.37, -5.24, -6.53, -2.25, -6.04, -2.43, -6.05, -5.50, -5.27 eV per atom.
In the order shown, the computed total magnetic moment values come out to 0.00, 0.00, 0.00, 5.00, 0.00, 0.25, 0.00, 3.61, 0.00, 0.00, 3.22, 0.00 Bohr magnetons per cell.